Entry 1:
Below is a geometry-optimized Hg2PbS2I2 structure, with properties calculated at the GGA-PBEsol level.

Geometry as POSCAR:
```
Hg2PbS2I2
1.0
-0.412 -1.875 4.128
-5.973 -10.764 -5.486
12.020 -5.912 -1.486
Hg Pb S I
8 4 8 8
Cartesian
1.492 -1.953 -0.738
0.469 -8.300 -3.724
3.087 -10.676 -4.542
-3.898 -9.478 -4.695
2.959 -6.000 -2.431
9.945 -7.198 -2.278
4.555 -14.723 -6.234
5.578 -8.376 -3.248
6.605 -6.104 0.397
-0.971 -12.448 -3.241
-0.808 -5.677 -0.149
6.442 -12.875 -2.695
-2.651 -11.391 -5.440
5.339 -6.190 -2.279
6.596 -13.660 -5.547
-0.550 -3.016 -1.425
5.468 -10.547 -4.246
8.698 -5.285 -1.533
0.579 -6.129 -2.727
0.708 -10.486 -4.693
-2.987 -5.382 -2.743
3.315 -13.718 -3.391
7.656 -9.002 -0.815
2.319 -4.834 0.546
6.010 -2.956 -0.743
2.817 -9.276 -1.422
-0.206 -0.938 2.064
-2.021 -9.549 -2.029
```

Summary:
Space group ... No. 127
Energy relative to the elements, uncorrected ... -346 meV per atom

***

Entry 2:
Below is a geometry-optimized HgSbPdI2 structure, with properties calculated at the GGA-PBEsol level.

Geometry as POSCAR:
```
HgSbPdI2
1.0
5.447 0.000 0.000
0.000 5.711 0.000
0.000 0.000 5.711
I Pd Hg Sb
2 1 1 1
Cartesian
0.000 0.000 2.855
0.000 2.855 0.000
2.723 2.855 2.855
0.000 0.000 0.000
2.723 0.000 0.000
```

Summary:
Space group ... No. 123
DOS(E_F) ... 1.016 states/eV/atom
Energy relative to the elements, uncorrected ... 921 meV per atom

***

Entry 3:
Below is a geometry-optimized HgTe2PdI structure, with properties calculated at the GGA-PBEsol level.

Geometry as POSCAR:
```
HgTe2PdI
1.0
5.505 0.000 0.000
0.000 5.505 0.000
0.000 0.000 5.658
Pd Te I Hg
1 2 1 1
Cartesian
2.752 2.752 2.829
2.752 0.000 0.000
0.000 2.752 0.000
0.000 0.000 2.829
0.000 0.000 0.000
```

Summary:
Space group ... No. 123
DOS(E_F) ... 1.763 states/eV/atom
Energy relative to the elements, uncorrected ... 973 meV per atom

***

Entry 4:
Below is a geometry-optimized HgTePdI2 structure, with properties calculated at the GGA-PBEsol level.

Geometry as POSCAR:
```
HgTePdI2
1.0
-2.446 4.790 -1.317
-3.697 -2.797 -3.304
-3.523 -0.581 4.434
Pd Te I Hg
1 1 2 1
Cartesian
-4.833 0.706 -0.093
-1.223 2.395 -0.658
-1.849 -1.398 -1.652
-1.761 -0.290 2.217
0.000 0.000 0.000
```

Summary:
Space group ... No. 123
DOS(E_F) ... 1.934 states/eV/atom
Energy relative to the elements, uncorrected ... 833 meV per atom

***

Entry 5:
Below is a geometry-optimized HgSbPtI2 structure, with properties calculated at the GGA-PBEsol level.

Geometry as POSCAR:
```
HgSbPtI2
1.0
5.048 0.000 0.000
0.000 5.590 0.000
0.000 0.000 5.590
I Sb Hg Pt
2 1 1 1
Cartesian
0.000 0.000 2.795
0.000 2.795 0.000
2.524 0.000 0.000
2.524 2.795 2.795
0.000 0.000 0.000
```

Summary:
Polymorph energy (0 for the lowest one) ... 0.00 kJ per mole of atoms
Space group ... No. 123
DOS(E_F) ... 0.475 states/eV/atom
Energy relative to the elements, uncorrected ... 210 meV per atom

***

Entry 6:
Below is a geometry-optimized Rb2HgI2 structure, with properties calculated at the GGA-PBEsol level.

Geometry as POSCAR:
```
Rb2HgI2
1.0
4.495 0.000 0.000
0.000 9.739 0.000
0.000 0.000 9.739
I Rb Hg
4 4 2
Cartesian
2.248 1.528 6.397
2.248 3.341 1.528
2.248 8.211 3.341
2.248 6.397 8.211
0.000 1.392 3.478
0.000 8.347 6.261
0.000 6.261 1.392
0.000 3.478 8.347
0.000 4.869 4.869
0.000 0.000 0.000
```

Summary:
Space group ... No. 127
DOS(E_F) ... 0.000 states/eV/atom
Energy relative to the elements, uncorrected ... -1070 meV per atom

***

Entry 7:
Below is a geometry-optimized RbHg2I2 structure, with properties calculated at the GGA-PBEsol level.

Geometry as POSCAR:
```
RbHg2I2
1.0
6.072 0.000 0.000
-3.036 5.880 -0.024
0.000 3.157 5.187
I Hg Rb
2 2 1
Cartesian
0.000 3.729 1.285
3.036 5.308 3.878
3.036 2.757 1.876
0.000 6.280 3.287
0.000 0.000 0.000
```

Summary:
Space group ... No. 139
DOS(E_F) ... 0.249 states/eV/atom
Energy relative to the elements, uncorrected ... -554 meV per atom

***

Entry 8:
Below is a geometry-optimized Rb2HgRhI structure, with properties calculated at the GGA-PBEsol level.

Geometry as POSCAR:
```
Rb2HgRhI
1.0
-3.948 -2.507 3.696
2.638 -5.917 -1.195
4.172 0.844 5.029
I Rh Rb Hg
1 1 2 1
Cartesian
-1.974 -1.253 1.848
1.431 -3.790 3.765
2.086 0.422 2.514
1.319 -2.959 -0.598
0.000 0.000 0.000
```

Summary:
Space group ... No. 123
DOS(E_F) ... 0.824 states/eV/atom
Energy relative to the elements, uncorrected ... 741 meV per atom

***

Entry 9:
Below is a geometry-optimized Rb2ScHgI6 structure, with properties calculated at the GGA-PBEsol level.

Geometry as POSCAR:
```
Rb2ScHgI6
1.0
8.407 0.000 0.000
4.203 7.280 0.000
4.203 2.427 6.864
I Hg Rb Sc
6 1 2 1
Cartesian
8.407 7.375 5.215
10.590 6.114 1.649
8.407 2.332 1.649
6.223 3.593 5.215
10.590 3.593 5.215
6.223 6.114 1.649
8.407 4.854 3.432
12.610 7.280 5.148
4.203 2.427 1.716
0.000 0.000 0.000
```

Summary:
Space group ... No. 225
DOS(E_F) ... 0.403 states/eV/atom
Energy relative to the elements, uncorrected ... -1036 meV per atom

***

Entry 10:
Below is a geometry-optimized ReHgSbI2 structure, with properties calculated at the GGA-PBEsol level.

Geometry as POSCAR:
```
ReHgSbI2
1.0
5.595 0.000 0.000
0.000 5.660 0.000
0.000 0.000 5.660
Sb Hg I Re
1 1 2 1
Cartesian
2.797 0.000 0.000
0.000 0.000 0.000
0.000 0.000 2.830
0.000 2.830 0.000
2.797 2.830 2.830
```

Summary:
Space group ... No. 123
DOS(E_F) ... 0.541 states/eV/atom
Energy relative to the elements, uncorrected ... 1689 meV per atom

***

Entry 11:
Below is a geometry-optimized HgRh2I structure, with properties calculated at the GGA-PBEsol level.

Geometry as POSCAR:
```
HgRh2I
1.0
4.625 0.000 0.000
2.313 4.005 0.000
2.313 1.335 3.776
Hg Rh I
1 2 1
Cartesian
4.625 2.670 1.888
2.313 1.335 0.944
6.938 4.005 2.832
0.000 0.000 0.000
```

Summary:
Space group ... No. 225
DOS(E_F) ... 1.530 states/eV/atom
Energy relative to the elements, uncorrected ... 473 meV per atom

***

Entry 12:
Below is a geometry-optimized HgTe2RhI structure, with properties calculated at the GGA-PBEsol level.

Geometry as POSCAR:
```
HgTe2RhI
1.0
-4.146 -0.015 3.564
-2.021 -4.493 -2.371
3.030 -3.216 3.512
Te I Rh Hg
2 1 1 1
Cartesian
-2.073 -0.008 1.782
-1.011 -2.246 -1.185
1.515 -1.608 1.756
-1.569 -3.862 2.352
0.000 0.000 0.000
```

Summary:
Space group ... No. 123
DOS(E_F) ... 1.915 states/eV/atom
Energy relative to the elements, uncorrected ... 1285 meV per atom

***

- Which of these has the lowest energy relative to the elements, uncorrected?
  Rb2HgI2

***

- The highest energy relative to the elements, uncorrected belongs to which entry?
  ReHgSbI2

***

- Number 12 is which compound?
  HgTe2RhI